No. 1
An optimized crystal structure of Ir2RuPt. Source: Alexandria, functional PBE-GGA. Values from VASP.

Geometry as Quantum ESPRESSO input:
```
&SYSTEM
  ibrav = 0, nat = 4, ntyp = 3
/
ATOMIC_SPECIES
Ru 101.07 Ru.upf
Ir 192.22 Ir.upf
Pt 195.08 Pt.upf
CELL_PARAMETERS angstrom
4.416 0.000 0.000
2.208 3.824 0.000
2.208 1.275 3.605
ATOMIC_POSITIONS crystal
Ru 0.750 0.750 0.750
Ir 0.000 0.000 0.000
Ir 0.250 0.250 0.250
Pt 0.500 0.500 0.500
```

- Spin magnetization: 2.48 μB/f.u.
- Calculated volume: 15.2 A^3/atom
- DOS(E_F): 1.6394 states/eV/atom
- Formation enthalpy at 0 K: 0.495 eV/atom
- Relative energy among the computed polymorphs: 513 meV per atom

No. 2
An optimized crystal structure of MgCu2Pt9. Source: Alexandria, functional PBE-GGA. Values from VASP.

Geometry as Quantum ESPRESSO input:
```
&SYSTEM
  ibrav = 0, nat = 12, ntyp = 3
/
ATOMIC_SPECIES
Pt 195.08 Pt.upf
Cu 63.55 Cu.upf
Mg 24.30 Mg.upf
CELL_PARAMETERS angstrom
-0.408 0.674 3.841
3.012 -2.399 0.741
7.444 9.099 -0.807
ATOMIC_POSITIONS crystal
Pt 0.000 0.500 0.830
Pt 0.500 0.500 0.666
Pt 0.500 0.500 0.334
Pt 0.000 0.500 0.170
Pt 0.500 0.000 0.500
Pt 0.500 0.000 0.830
Pt 0.500 0.000 0.170
Pt 0.000 0.500 0.500
Pt 0.500 0.500 0.000
Cu 0.000 0.000 0.664
Cu 0.000 0.000 0.336
Mg 0.000 0.000 0.000
```

- Spin magnetization: 0.00 μB/f.u.
- Calculated volume: 15.1 A^3/atom
- DOS(E_F): 1.1212 states/eV/atom
- Formation enthalpy at 0 K: -0.275 eV/atom

No. 3
An optimized crystal structure of AcLa2Tb. Source: Alexandria, functional PBE-GGA. Values from VASP.

Geometry as Quantum ESPRESSO input:
```
&SYSTEM
  ibrav = 0, nat = 4, ntyp = 3
/
ATOMIC_SPECIES
La 138.91 La.upf
Tb 158.93 Tb.upf
Ac 227.00 Ac.upf
CELL_PARAMETERS angstrom
3.796 0.000 0.000
0.000 3.796 0.000
0.000 0.000 10.469
ATOMIC_POSITIONS crystal
La 0.000 0.000 0.765
La 0.000 0.000 0.235
Tb 0.500 0.500 0.000
Ac 0.500 0.500 0.500
```

- Spin magnetization: 0.00 μB/f.u.
- Calculated volume: 37.7 A^3/atom
- DOS(E_F): 1.8907 states/eV/atom
- Formation enthalpy at 0 K: 0.034 eV/atom
- Relative energy among the computed polymorphs: 15 meV per atom

No. 4
An optimized crystal structure of MgTl2ZnSb2. Source: Alexandria, functional PBE-GGA. Values from VASP.

Geometry as Quantum ESPRESSO input:
```
&SYSTEM
  ibrav = 0, nat = 12, ntyp = 4
/
ATOMIC_SPECIES
Sb 121.76 Sb.upf
Zn 65.41 Zn.upf
Tl 204.38 Tl.upf
Mg 24.30 Mg.upf
CELL_PARAMETERS angstrom
6.727 0.000 0.000
0.000 6.764 0.000
-3.363 -3.382 7.603
ATOMIC_POSITIONS crystal
Sb 0.160 0.893 0.787
Sb 0.840 0.107 0.213
Sb 0.626 0.393 0.787
Sb 0.374 0.607 0.213
Zn 0.500 0.750 0.000
Zn 0.500 0.250 0.000
Tl 0.926 0.671 0.342
Tl 0.074 0.329 0.658
Tl 0.583 0.829 0.658
Tl 0.417 0.171 0.342
Mg 0.000 0.250 0.000
Mg 0.000 0.750 0.000
```

- Spin magnetization: 0.00 μB/f.u.
- Calculated volume: 28.8 A^3/atom
- DOS(E_F): 0.2368 states/eV/atom
- Formation energy (no corrections): -134 meV per atom

No. 5
An optimized crystal structure of TbSi2Pd. Source: Alexandria, functional PBE-GGA. Values from VASP.

Geometry as Quantum ESPRESSO input:
```
&SYSTEM
  ibrav = 0, nat = 32, ntyp = 3
/
ATOMIC_SPECIES
Pd 106.42 Pd.upf
Si 28.09 Si.upf
Tb 158.93 Tb.upf
CELL_PARAMETERS angstrom
4.084 0.000 0.000
0.000 10.567 0.000
0.000 0.000 13.428
ATOMIC_POSITIONS crystal
Pd 0.250 0.821 0.294
Pd 0.750 0.179 0.706
Pd 0.250 0.679 0.794
Pd 0.750 0.555 0.940
Pd 0.750 0.321 0.206
Pd 0.250 0.445 0.060
Pd 0.250 0.055 0.560
Pd 0.750 0.945 0.440
Si 0.750 0.767 0.708
Si 0.250 0.462 0.874
Si 0.250 0.267 0.792
Si 0.250 0.038 0.374
Si 0.250 0.233 0.292
Si 0.750 0.768 0.884
Si 0.750 0.958 0.970
Si 0.250 0.458 0.530
Si 0.750 0.732 0.384
Si 0.250 0.268 0.616
Si 0.750 0.733 0.208
Si 0.750 0.542 0.470
Si 0.750 0.962 0.626
Si 0.250 0.042 0.030
Si 0.250 0.232 0.116
Si 0.750 0.538 0.126
Tb 0.250 0.746 0.550
Tb 0.750 0.476 0.699
Tb 0.250 0.524 0.301
Tb 0.250 0.754 0.050
Tb 0.750 0.024 0.199
Tb 0.250 0.976 0.801
Tb 0.750 0.254 0.450
Tb 0.750 0.246 0.950
```

- Spin magnetization: 0.00 μB/f.u.
- Calculated volume: 18.1 A^3/atom
- DOS(E_F): 0.3946 states/eV/atom
- Formation energy (no corrections): -822 meV per atom

No. 6
An optimized crystal structure of LaCeCdPb. Source: Alexandria, functional PBE-GGA. Values from VASP.

Geometry as Quantum ESPRESSO input:
```
&SYSTEM
  ibrav = 0, nat = 4, ntyp = 4
/
ATOMIC_SPECIES
Ce 140.12 Ce.upf
Cd 112.41 Cd.upf
Pb 207.20 Pb.upf
La 138.91 La.upf
CELL_PARAMETERS angstrom
-4.633 2.782 1.296
-1.582 0.443 5.309
0.337 4.900 2.600
ATOMIC_POSITIONS crystal
Ce 0.000 0.000 0.000
Cd 0.750 0.750 0.750
Pb 0.250 0.250 0.250
La 0.500 0.500 0.500
```

- Spin magnetization: 1.23 μB/f.u.
- Calculated volume: 30.3 A^3/atom
- DOS(E_F): 2.7113 states/eV/atom
- Formation enthalpy at 0 K: -0.357 eV/atom
- Relative energy among the computed polymorphs: 6 meV per atom

No. 7
An optimized crystal structure of Rb2LaPbF6. Source: Alexandria, functional PBE-GGA. Values from VASP.

Geometry as Quantum ESPRESSO input:
```
&SYSTEM
  ibrav = 0, nat = 10, ntyp = 4
/
ATOMIC_SPECIES
F 19.00 F.upf
La 138.91 La.upf
Pb 207.20 Pb.upf
Rb 85.47 Rb.upf
CELL_PARAMETERS angstrom
6.975 0.000 0.000
0.000 6.975 0.000
3.487 3.487 4.929
ATOMIC_POSITIONS crystal
F 0.737 0.737 0.526
F 0.263 0.263 0.474
F 0.737 0.737 0.000
F 0.263 0.263 0.000
F 0.737 0.263 0.000
F 0.263 0.737 0.000
La 0.500 0.500 0.000
Pb 0.000 0.000 0.000
Rb 0.250 0.750 0.500
Rb 0.750 0.250 0.500
```

- Spin magnetization: 0.00 μB/f.u.
- Calculated volume: 24.0 A^3/atom
- DOS(E_F): 0.7324 states/eV/atom
- Formation energy (no corrections): -2857 meV per atom

No. 8
An optimized crystal structure of Ho2Er6TmSc. Source: Alexandria, functional PBE-GGA. Values from VASP.

Geometry as Quantum ESPRESSO input:
```
&SYSTEM
  ibrav = 0, nat = 20, ntyp = 4
/
ATOMIC_SPECIES
Tm 168.93 Tm.upf
Ho 164.93 Ho.upf
Er 167.26 Er.upf
Sc 44.96 Sc.upf
CELL_PARAMETERS angstrom
8.905 -2.017 -2.093
0.788 8.322 -1.925
0.788 -2.232 8.244
ATOMIC_POSITIONS crystal
Tm 0.250 0.979 0.021
Tm 0.750 0.021 0.979
Ho 0.046 0.302 0.199
Ho 0.546 0.199 0.302
Ho 0.454 0.801 0.698
Ho 0.954 0.698 0.801
Er 0.383 0.504 0.293
Er 0.311 0.990 0.432
Er 0.944 0.873 0.249
Er 0.617 0.496 0.707
Er 0.883 0.293 0.504
Er 0.056 0.127 0.751
Er 0.189 0.568 0.010
Er 0.556 0.751 0.127
Er 0.811 0.432 0.990
Er 0.117 0.707 0.496
Er 0.444 0.249 0.873
Er 0.689 0.010 0.568
Sc 0.250 0.412 0.588
Sc 0.750 0.588 0.412
```

- Spin magnetization: 0.00 μB/f.u.
- Calculated volume: 30.3 A^3/atom
- DOS(E_F): 1.2862 states/eV/atom
- Formation enthalpy at 0 K: 0.127 eV/atom

No. 9
An optimized crystal structure of CePuFeN3. Source: Alexandria, functional PBE-GGA. Values from VASP.

Geometry as Quantum ESPRESSO input:
```
&SYSTEM
  ibrav = 0, nat = 12, ntyp = 4
/
ATOMIC_SPECIES
Fe 55.84 Fe.upf
N 14.01 N.upf
Ce 140.12 Ce.upf
Pu 244.00 Pu.upf
CELL_PARAMETERS angstrom
-1.863 -1.890 2.039
4.768 1.009 5.291
-4.295 5.586 1.255
ATOMIC_POSITIONS crystal
Fe 0.250 0.093 0.581
Fe 0.750 0.907 0.419
N 0.250 0.828 0.530
N 0.250 0.124 0.858
N 0.750 0.172 0.470
N 0.250 0.584 0.864
N 0.750 0.876 0.142
N 0.750 0.416 0.136
Ce 0.750 0.834 0.802
Ce 0.250 0.166 0.198
Pu 0.250 0.647 0.181
Pu 0.750 0.353 0.819
```

- Spin magnetization: 3.06 μB/f.u.
- Calculated volume: 14.2 A^3/atom
- DOS(E_F): 1.5339 states/eV/atom
- Formation energy (no corrections): -952 meV per atom

No. 10
An optimized crystal structure of MoRhBr2. Source: Alexandria, functional PBE-GGA. Values from VASP.

Geometry as Quantum ESPRESSO input:
```
&SYSTEM
  ibrav = 0, nat = 4, ntyp = 3
/
ATOMIC_SPECIES
Br 79.90 Br.upf
Mo 95.94 Mo.upf
Rh 102.91 Rh.upf
CELL_PARAMETERS angstrom
3.352 0.000 0.000
0.000 3.327 0.004
0.000 1.662 8.180
ATOMIC_POSITIONS crystal
Br 0.500 0.401 0.325
Br 0.000 0.112 0.900
Mo 0.000 0.280 0.565
Rh 0.500 0.707 0.710
```

- Spin magnetization: 0.56 μB/f.u.
- Calculated volume: 22.8 A^3/atom
- DOS(E_F): 0.6719 states/eV/atom
- Relative energy among the computed polymorphs: 6 meV per atom
- Formation energy (no corrections): 0 meV per atom

No. 11
An optimized crystal structure of ZrTeOsI2. Source: Alexandria, functional PBE-GGA. Values from VASP.

Geometry as Quantum ESPRESSO input:
```
&SYSTEM
  ibrav = 0, nat = 5, ntyp = 4
/
ATOMIC_SPECIES
Te 127.60 Te.upf
I 126.90 I.upf
Os 190.23 Os.upf
Zr 91.22 Zr.upf
CELL_PARAMETERS angstrom
5.248 0.000 0.000
0.000 5.248 0.000
0.000 0.000 5.253
ATOMIC_POSITIONS crystal
Te 0.000 0.000 0.500
I 0.000 0.500 0.000
I 0.500 0.000 0.000
Os 0.000 0.000 0.000
Zr 0.500 0.500 0.500
```

- Spin magnetization: 0.00 μB/f.u.
- Calculated volume: 28.9 A^3/atom
- DOS(E_F): 1.2201 states/eV/atom
- Relative energy among the computed polymorphs: 0 meV per atom
- Formation energy (no corrections): 924 meV per atom

No. 12
An optimized crystal structure of NbTe2F2. Source: Alexandria, functional PBE-GGA. Values from VASP.

Geometry as Quantum ESPRESSO input:
```
&SYSTEM
  ibrav = 0, nat = 10, ntyp = 3
/
ATOMIC_SPECIES
Te 127.60 Te.upf
F 19.00 F.upf
Nb 92.91 Nb.upf
CELL_PARAMETERS angstrom
5.933 0.000 0.000
0.000 5.933 0.000
0.000 0.000 5.909
ATOMIC_POSITIONS crystal
Te 0.827 0.327 0.500
Te 0.327 0.173 0.500
Te 0.173 0.673 0.500
Te 0.673 0.827 0.500
F 0.696 0.196 0.000
F 0.804 0.696 0.000
F 0.196 0.304 0.000
F 0.304 0.804 0.000
Nb 0.000 0.000 0.000
Nb 0.500 0.500 0.000
```

- Spin magnetization: 1.80 μB/f.u.
- Calculated volume: 20.8 A^3/atom
- DOS(E_F): 0.7934 states/eV/atom
- Relative energy among the computed polymorphs: 0 meV per atom
- Formation energy (no corrections): -1036 meV per atom

Look up the spin magnetization of the third one. 0.00 μB/f.u.

Repeat the first record exactly.
An optimized crystal structure of Ir2RuPt. Source: Alexandria, functional PBE-GGA. Values from VASP.

Geometry as Quantum ESPRESSO input:
```
&SYSTEM
  ibrav = 0, nat = 4, ntyp = 3
/
ATOMIC_SPECIES
Ru 101.07 Ru.upf
Ir 192.22 Ir.upf
Pt 195.08 Pt.upf
CELL_PARAMETERS angstrom
4.416 0.000 0.000
2.208 3.824 0.000
2.208 1.275 3.605
ATOMIC_POSITIONS crystal
Ru 0.750 0.750 0.750
Ir 0.000 0.000 0.000
Ir 0.250 0.250 0.250
Pt 0.500 0.500 0.500
```

- Spin magnetization: 2.48 μB/f.u.
- Calculated volume: 15.2 A^3/atom
- DOS(E_F): 1.6394 states/eV/atom
- Formation enthalpy at 0 K: 0.495 eV/atom
- Relative energy among the computed polymorphs: 513 meV per atom

Among the records above, which one has the highest spin magnetization? CePuFeN3